# PrAlNO

A relaxed PrAlNO crystal (GGA-PBE, OQMD via LeMat-Bulk).

```
8
Lattice="3.6313 0.0000 0.0000 0.0000 5.4354 0.0000 0.0000 0.0000 5.6170" Properties=species:S:1:pos:R:3 pbc="T T T"
Pr 0.0000 1.2576 0.0000
Pr 0.0000 4.1778 2.8085
Al 1.8156 1.2376 2.8009
Al 1.8156 4.1977 5.6094
N 1.8156 0.0133 4.2169
N 1.8156 5.4220 1.4084
O 0.0000 1.7468 2.7882
O 0.0000 3.6886 5.5968
```

ρ (Mg/m³): 5.928
Space-group type: Pmc2_1
Uncorrected energy (eV per atom): -7.2945

# CsTmAu

A relaxed CsTmAu crystal (GGA-PBE, OQMD via LeMat-Bulk).

```
12
Lattice="7.4354 0.0000 0.0000 0.0000 7.4354 0.0000 0.0000 0.0000 7.4354" Properties=species:S:1:pos:R:3 pbc="T T T"
Cs 0.0000 0.0000 0.0000
Cs 0.0000 3.7177 3.7177
Cs 3.7177 0.0000 3.7177
Cs 3.7177 3.7177 0.0000
Tm 1.8589 1.8589 5.5766
Tm 1.8589 5.5766 1.8589
Tm 5.5766 1.8589 1.8589
Tm 5.5766 5.5766 5.5766
Au 0.0000 0.0000 3.7177
Au 0.0000 3.7177 0.0000
Au 3.7177 0.0000 0.0000
Au 3.7177 3.7177 3.7177
```

ρ (Mg/m³): 8.060
Space-group type: F-43m
Uncorrected energy (eV per atom): -2.3466

# Ta2CdAs

A relaxed Ta2CdAs crystal (GGA-PBE, OQMD via LeMat-Bulk).

```
16
Lattice="6.6977 0.0000 0.0000 0.0000 6.6977 0.0000 0.0000 0.0000 6.6977" Properties=species:S:1:pos:R:3 pbc="T T T"
Ta 0.0000 0.0000 0.0000
Ta 0.0000 3.3489 3.3489
Ta 1.6744 1.6744 1.6744
Ta 1.6744 5.0233 5.0233
Ta 3.3489 0.0000 3.3489
Ta 3.3489 3.3489 0.0000
Ta 5.0233 1.6744 5.0233
Ta 5.0233 5.0233 1.6744
Cd 1.6744 1.6744 5.0233
Cd 1.6744 5.0233 1.6744
Cd 5.0233 1.6744 1.6744
Cd 5.0233 5.0233 5.0233
As 0.0000 0.0000 3.3489
As 0.0000 3.3489 0.0000
As 3.3489 0.0000 0.0000
As 3.3489 3.3489 3.3489
```

ρ (Mg/m³): 12.142
Space-group type: F-43m
Uncorrected energy (eV per atom): -6.7149

# Zr4Al3W2C3

A relaxed Zr4Al3W2C3 crystal (GGA-PBE, OQMD via LeMat-Bulk).

```
24
Lattice="4.8162 -2.7884 0.0000 4.8162 2.7884 0.0000 -3.2622 0.0000 13.9342" Properties=species:S:1:pos:R:3 pbc="T T T"
Zr 0.7976 0.4392 1.3360
Zr 0.7594 0.4833 5.6315
Zr -0.8335 -0.4392 8.3031
Zr -0.8717 -0.4833 12.5986
Zr 7.2419 0.4833 1.3356
Zr 7.2037 0.4392 5.6311
Zr 5.6108 -0.4833 8.3027
Zr 5.5726 -0.4392 12.5982
Al 4.0006 2.0290 3.4836
Al 1.0003 0.3289 10.4733
Al 2.6314 -0.3289 3.5062
Al 3.7388 0.3289 10.4280
Al 5.3699 -0.3289 3.4609
Al 2.3696 -2.0290 10.4507
W 3.9747 0.4836 1.1137
W 4.0266 0.4836 5.8534
W 2.3436 -0.4836 8.0808
W 2.3955 -0.4836 12.8206
C 2.4081 1.3942 0.0000
C 2.4101 1.3486 6.9671
C 5.5912 1.3486 0.0000
C 0.7770 -1.3942 6.9671
C 4.0412 -1.3486 0.0000
C 3.9601 -1.3486 6.9671
```

ρ (Mg/m³): 7.539
Space-group type: C2/c
Uncorrected energy (eV per atom): -8.7872

# UBPd

A relaxed UBPd crystal (GGA-PBE, OQMD via LeMat-Bulk).

```
12
Lattice="6.2076 0.0000 0.0000 0.0000 6.2076 0.0000 0.0000 0.0000 6.2076" Properties=species:S:1:pos:R:3 pbc="T T T"
U 0.0000 0.0000 0.0000
U 0.0000 3.1038 3.1038
U 3.1038 0.0000 3.1038
U 3.1038 3.1038 0.0000
B 1.5519 1.5519 4.6557
B 1.5519 4.6557 1.5519
B 4.6557 1.5519 1.5519
B 4.6557 4.6557 4.6557
Pd 1.5519 1.5519 1.5519
Pd 1.5519 4.6557 4.6557
Pd 4.6557 1.5519 4.6557
Pd 4.6557 4.6557 1.5519
```

ρ (Mg/m³): 9.865
Space-group type: F-43m
Uncorrected energy (eV per atom): -6.7994

# CsPrSeO

A relaxed CsPrSeO crystal (GGA-PBE, OQMD via LeMat-Bulk).

```
8
Lattice="4.5260 0.0000 0.0000 0.0000 4.5260 0.0000 0.0000 0.0000 10.3510" Properties=species:S:1:pos:R:3 pbc="T T T"
Cs 1.1315 3.3945 0.0000
Cs 3.3945 1.1315 0.0000
Pr 1.1315 1.1315 4.2701
Pr 3.3945 3.3945 6.0809
Se 1.1315 1.1315 7.8142
Se 3.3945 3.3945 2.5367
O 1.1315 3.3945 5.1755
O 3.3945 1.1315 5.1755
```

ρ (Mg/m³): 5.776
Space-group type: P4/nmm
Uncorrected energy (eV per atom): -5.3448

# PrEr3Pt4

A relaxed PrEr3Pt4 crystal (GGA-PBE, OQMD via LeMat-Bulk).

```
8
Lattice="5.5804 0.0000 0.0000 0.0000 4.5177 0.0000 -0.1025 0.0000 7.0730" Properties=species:S:1:pos:R:3 pbc="T T T"
Pr 0.0000 0.0000 0.0000
Er 1.1590 0.0000 3.5245
Er 2.7671 2.2588 0.9744
Er 3.9240 2.2588 4.4750
Pt 0.0544 2.2588 2.0439
Pt 1.0821 2.2588 5.3602
Pt 2.7688 0.0000 6.0398
Pt 3.8394 0.0000 2.5982
```

Formation energy from the elements (eV per atom): -1.26
ρ (Mg/m³): 13.252
Space-group type: Pm
Uncorrected energy (eV per atom): -6.5913

# ErAlPO

A relaxed ErAlPO crystal (GGA-PBE, OQMD via LeMat-Bulk).

```
8
Lattice="4.0293 0.0000 0.0000 0.0000 4.0293 0.0000 0.0000 0.0000 9.2745" Properties=species:S:1:pos:R:3 pbc="T T T"
Er 1.0073 3.0220 0.0000
Er 3.0220 1.0073 0.0000
Al 1.0073 1.0073 4.1034
Al 3.0220 3.0220 5.1712
P 1.0073 1.0073 1.8069
P 3.0220 3.0220 7.4677
O 1.0073 3.0220 4.6373
O 3.0220 1.0073 4.6373
```

ρ (Mg/m³): 5.320
Space-group type: P4/nmm
Uncorrected energy (eV per atom): -5.7343

# NdTlAgSe3

A relaxed NdTlAgSe3 crystal (GGA-PBE, OQMD via LeMat-Bulk).

```
12
Lattice="2.0714 -7.1961 0.0000 2.0714 7.1961 0.0000 0.0000 0.0000 11.1061" Properties=species:S:1:pos:R:3 pbc="T T T"
Nd 0.0000 0.0000 0.0000
Nd 0.0000 0.0000 5.5531
Tl 2.0714 3.6552 8.3296
Tl 2.0714 -3.6552 2.7765
Ag 2.0714 0.4961 2.7765
Ag 2.0714 -0.4961 8.3296
Se 2.0714 6.0293 2.7765
Se 2.0714 2.0179 0.6298
Se 2.0714 2.0179 4.9233
Se 2.0714 -2.0179 6.1828
Se 2.0714 -2.0179 10.4764
Se 2.0714 -6.0293 8.3296
```

ρ (Mg/m³): 6.955
Space-group type: Cmcm
Uncorrected energy (eV per atom): -4.2626

# LiLuCdO3

A relaxed LiLuCdO3 crystal (GGA-PBE, OQMD via LeMat-Bulk).

```
12
Lattice="1.6072 -7.0003 0.0000 1.6072 7.0003 0.0000 0.0000 0.0000 6.1594" Properties=species:S:1:pos:R:3 pbc="T T T"
Li 1.6072 4.9736 4.6195
Li 1.6072 -4.9736 1.5398
Lu 1.6072 0.0000 0.0000
Lu 1.6072 0.0000 3.0797
Cd 1.6072 4.1878 1.5398
Cd 1.6072 -4.1878 4.6195
O 1.6072 6.9687 4.6195
O 1.6072 2.1631 0.0950
O 1.6072 2.1631 2.9847
O 1.6072 -2.1631 3.1747
O 1.6072 -2.1631 6.0644
O 1.6072 -6.9687 1.5398
```

ρ (Mg/m³): 8.202
Space-group type: Cmcm
Uncorrected energy (eV per atom): -5.8950

Question: Which of these has the lowest uncorrected energy?
Answer: Zr4Al3W2C3

Question: What is the formula in the eighth record?
Answer: ErAlPO

Question: Among the records above, which one has the lowest uncorrected energy?
Answer: Zr4Al3W2C3